[1]
Density functional theory data (PBE) for a geometry-optimized KSm2Br2 structure.

Calculated values
The space group is I4_1/amd (141). The value obtained for the raw total energy is -2.91 eV per atom. The crystal system is tetragonal. As for the volume: 431.7 Å³/cell.

Cell lengths 9.380, 9.380, 9.380 Å; angles 133.13, 133.13, 68.44 degrees
Sites, in units of the cell vectors:
K 0.375 0.625 0.750
K 0.625 0.375 0.250
Sm 0.137 0.387 0.750
Sm 0.387 0.137 0.250
Sm 0.613 0.863 0.750
Sm 0.863 0.613 0.250
Br 0.000 0.000 0.000
Br 0.000 0.000 0.500
Br 0.000 0.500 0.000
Br 0.500 0.000 0.500

***

[2]
Density functional theory data (PBE) for a geometry-optimized SrNdSi structure.

Calculated values
The space group is F-43m (216). The value obtained for the raw total energy is -4.26 eV per atom. The crystal system is cubic. As for the volume: 98.0 Å³/cell.

Cell lengths 5.175, 5.175, 5.175 Å; angles 60.00, 60.00, 60.00 degrees
Sites, in units of the cell vectors:
Sr 0.000 0.000 0.000
Nd 0.500 0.500 0.500
Si 0.750 0.750 0.750